VASP calculation (PBE-GGA) on a relaxed structure of Pr3DyEr2.

Properties
DFT total energy   -4.566 eV per atom
Energy above the lowest structure with this stoichiometry   0.00 eV per formula unit
Total moment   0.00 μB/cell
SG   No. 12
ΔH_f (0 K)   65 kJ/mol of formula units

Geometry as CIF:
```
data_Pr3DyEr2
_chemical_formula_sum 'Pr6 Dy2 Er4'
_cell_length_a 6.874
_cell_length_b 6.874
_cell_length_c 17.808
_cell_angle_alpha 102.05
_cell_angle_beta 102.05
_cell_angle_gamma 30.01
_symmetry_space_group_name_H-M 'P 1'
_symmetry_Int_Tables_number 1
_symmetry_space_group_name_Hall 'P 1'
loop_
_atom_site_label
_atom_site_type_symbol
_atom_site_fract_x
_atom_site_fract_y
_atom_site_fract_z
_atom_site_occupancy
Pr1 Pr 0.068 0.068 0.169 1
Pr2 Pr 0.266 0.266 0.662 1
Pr3 Pr 0.372 0.372 0.010 1
Pr4 Pr 0.628 0.628 0.990 1
Pr5 Pr 0.734 0.734 0.338 1
Pr6 Pr 0.932 0.932 0.831 1
Dy1 Dy 0.459 0.459 0.319 1
Dy2 Dy 0.541 0.541 0.681 1
Er1 Er 0.196 0.196 0.834 1
Er2 Er 0.367 0.367 0.499 1
Er3 Er 0.633 0.633 0.501 1
Er4 Er 0.804 0.804 0.166 1
```

VASP calculation (PBE-GGA) on a relaxed structure of Cs4CdAu4.

Properties
DFT total energy   -2.202 eV per atom
Total moment   0.00 μB/cell
SG   No. 121
ΔH_f (0 K)   -230 kJ/mol of formula units

Geometry as CIF:
```
data_Cs4CdAu4
_chemical_formula_sum 'Cs4 Cd1 Au4'
_cell_length_a 9.179
_cell_length_b 9.179
_cell_length_c 9.179
_cell_angle_alpha 131.68
_cell_angle_beta 131.68
_cell_angle_gamma 70.73
_symmetry_space_group_name_H-M 'P 1'
_symmetry_Int_Tables_number 1
_symmetry_space_group_name_Hall 'P 1'
loop_
_atom_site_label
_atom_site_type_symbol
_atom_site_fract_x
_atom_site_fract_y
_atom_site_fract_z
_atom_site_occupancy
Cs1 Cs 0.078 0.646 0.000 1
Cs2 Cs 0.354 0.354 0.432 1
Cs3 Cs 0.646 0.078 0.000 1
Cs4 Cs 0.922 0.922 0.568 1
Cd1 Cd 0.500 0.500 0.000 1
Au1 Au 0.165 0.165 0.558 1
Au2 Au 0.393 0.835 0.000 1
Au3 Au 0.607 0.607 0.442 1
Au4 Au 0.835 0.393 0.000 1
```

VASP calculation (PBE-GGA) on a relaxed structure of CaTe2.

Properties
DFT total energy   -3.537 eV per atom
Total moment   0.00 μB/cell
SG   No. 189
Raw formation energy   -0.775 eV/atom

Geometry as CIF:
```
data_CaTe2
_chemical_formula_sum 'Ca3 Te6'
_cell_length_a 8.668
_cell_length_b 8.668
_cell_length_c 4.233
_cell_angle_alpha 90.00
_cell_angle_beta 90.00
_cell_angle_gamma 120.00
_symmetry_space_group_name_H-M 'P 1'
_symmetry_Int_Tables_number 1
_symmetry_space_group_name_Hall 'P 1'
loop_
_atom_site_label
_atom_site_type_symbol
_atom_site_fract_x
_atom_site_fract_y
_atom_site_fract_z
_atom_site_occupancy
Ca1 Ca 0.000 0.000 0.000 1
Ca2 Ca 0.333 0.667 0.500 1
Ca3 Ca 0.667 0.333 0.500 1
Te1 Te 0.000 0.271 0.500 1
Te2 Te 0.000 0.577 0.000 1
Te3 Te 0.271 0.000 0.500 1
Te4 Te 0.423 0.423 0.000 1
Te5 Te 0.577 0.000 0.000 1
Te6 Te 0.729 0.729 0.500 1
```

VASP calculation (PBE-GGA) on a relaxed structure of Tb2TmGa.

Properties
DFT total energy   -4.287 eV per atom
Energy above the lowest structure with this stoichiometry   0.72 eV per formula unit
Total moment   0.49 μB/cell
SG   No. 225
ΔH_f (0 K)   -37 kJ/mol of formula units

Geometry as CIF:
```
data_Tb2TmGa
_chemical_formula_sum 'Tb2 Tm1 Ga1'
_cell_length_a 5.307
_cell_length_b 5.307
_cell_length_c 5.307
_cell_angle_alpha 60.00
_cell_angle_beta 60.00
_cell_angle_gamma 60.00
_symmetry_space_group_name_H-M 'P 1'
_symmetry_Int_Tables_number 1
_symmetry_space_group_name_Hall 'P 1'
loop_
_atom_site_label
_atom_site_type_symbol
_atom_site_fract_x
_atom_site_fract_y
_atom_site_fract_z
_atom_site_occupancy
Tb1 Tb 0.250 0.250 0.250 1
Tb2 Tb 0.750 0.750 0.750 1
Tm1 Tm 0.000 0.000 0.000 1
Ga1 Ga 0.500 0.500 0.500 1
```

VASP calculation (PBE-GGA) on a relaxed structure of LiZnSe2.

Properties
DFT total energy   -3.144 eV per atom
Energy above the lowest structure with this stoichiometry   0.00 eV per formula unit
Total moment   0.00 μB/cell
SG   No. 122
Raw formation energy   -0.604 eV/atom

Geometry as CIF:
```
data_LiZnSe2
_chemical_formula_sum 'Li2 Zn2 Se4'
_cell_length_a 6.767
_cell_length_b 6.767
_cell_length_c 6.767
_cell_angle_alpha 127.44
_cell_angle_beta 127.44
_cell_angle_gamma 77.53
_symmetry_space_group_name_H-M 'P 1'
_symmetry_Int_Tables_number 1
_symmetry_space_group_name_Hall 'P 1'
loop_
_atom_site_label
_atom_site_type_symbol
_atom_site_fract_x
_atom_site_fract_y
_atom_site_fract_z
_atom_site_occupancy
Li1 Li 0.000 0.000 0.000 1
Li2 Li 0.750 0.250 0.500 1
Zn1 Zn 0.250 0.750 0.500 1
Zn2 Zn 0.500 0.500 0.000 1
Se1 Se 0.138 0.625 0.013 1
Se2 Se 0.375 0.388 0.513 1
Se3 Se 0.612 0.125 0.987 1
Se4 Se 0.875 0.862 0.487 1
```

VASP calculation (PBE-GGA) on a relaxed structure of Ho6Cd3Tc.

Properties
DFT total energy   -4.256 eV per atom
Total moment   0.00 μB/cell
SG   No. 11
ΔH_f (0 K)   -191 kJ/mol of formula units

Geometry as CIF:
```
data_Ho6Cd3Tc
_chemical_formula_sum 'Ho12 Cd6 Tc2'
_cell_length_a 9.083
_cell_length_b 5.287
_cell_length_c 11.318
_cell_angle_alpha 90.00
_cell_angle_beta 108.68
_cell_angle_gamma 90.00
_symmetry_space_group_name_H-M 'P 1'
_symmetry_Int_Tables_number 1
_symmetry_space_group_name_Hall 'P 1'
loop_
_atom_site_label
_atom_site_type_symbol
_atom_site_fract_x
_atom_site_fract_y
_atom_site_fract_z
_atom_site_occupancy
Ho1 Ho 0.035 0.250 0.415 1
Ho2 Ho 0.189 0.750 0.167 1
Ho3 Ho 0.283 0.250 0.005 1
Ho4 Ho 0.347 0.750 0.831 1
Ho5 Ho 0.378 0.250 0.343 1
Ho6 Ho 0.393 0.250 0.647 1
Ho7 Ho 0.607 0.750 0.353 1
Ho8 Ho 0.622 0.750 0.657 1
Ho9 Ho 0.653 0.250 0.169 1
Ho10 Ho 0.717 0.750 0.995 1
Ho11 Ho 0.811 0.250 0.833 1
Ho12 Ho 0.965 0.750 0.585 1
Cd1 Cd 0.010 0.750 0.871 1
Cd2 Cd 0.089 0.250 0.720 1
Cd3 Cd 0.271 0.750 0.473 1
Cd4 Cd 0.729 0.250 0.527 1
Cd5 Cd 0.911 0.750 0.280 1
Cd6 Cd 0.990 0.250 0.129 1
Tc1 Tc 0.464 0.750 0.098 1
Tc2 Tc 0.536 0.250 0.902 1
```

VASP calculation (PBE-GGA) on a relaxed structure of BSbTe2N.

Properties
DFT total energy   -4.822 eV per atom
Energy above the lowest structure with this stoichiometry   0.00 eV per formula unit
Total moment   0.00 μB/cell
SG   No. 123
Raw formation energy   0.260 eV/atom

Geometry as CIF:
```
data_BSbTe2N
_chemical_formula_sum 'B1 Sb1 Te2 N1'
_cell_length_a 6.675
_cell_length_b 6.675
_cell_length_c 2.759
_cell_angle_alpha 90.00
_cell_angle_beta 90.00
_cell_angle_gamma 90.00
_symmetry_space_group_name_H-M 'P 1'
_symmetry_Int_Tables_number 1
_symmetry_space_group_name_Hall 'P 1'
loop_
_atom_site_label
_atom_site_type_symbol
_atom_site_fract_x
_atom_site_fract_y
_atom_site_fract_z
_atom_site_occupancy
B1 B 0.000 0.000 0.000 1
Sb1 Sb 0.500 0.500 0.500 1
Te1 Te 0.000 0.500 0.000 1
Te2 Te 0.500 0.000 0.000 1
N1 N 0.000 0.000 0.500 1
```

VASP calculation (PBE-GGA) on a relaxed structure of Pm3HfTl3Te8.

Properties
DFT total energy   -4.769 eV per atom
Total moment   0.00 μB/cell
SG   No. 166
Raw formation energy   -1.006 eV/atom

Geometry as CIF:
```
data_Pm3HfTl3Te8
_chemical_formula_sum 'Pm3 Hf1 Tl3 Te8'
_cell_length_a 9.747
_cell_length_b 9.747
_cell_length_c 9.747
_cell_angle_alpha 54.13
_cell_angle_beta 54.13
_cell_angle_gamma 54.13
_symmetry_space_group_name_H-M 'P 1'
_symmetry_Int_Tables_number 1
_symmetry_space_group_name_Hall 'P 1'
loop_
_atom_site_label
_atom_site_type_symbol
_atom_site_fract_x
_atom_site_fract_y
_atom_site_fract_z
_atom_site_occupancy
Pm1 Pm 0.000 0.500 0.500 1
Pm2 Pm 0.500 0.000 0.500 1
Pm3 Pm 0.500 0.500 0.000 1
Hf1 Hf 0.000 0.000 0.000 1
Tl1 Tl 0.000 0.000 0.500 1
Tl2 Tl 0.000 0.500 0.000 1
Tl3 Tl 0.500 0.000 0.000 1
Te1 Te 0.225 0.225 0.759 1
Te2 Te 0.225 0.759 0.225 1
Te3 Te 0.241 0.775 0.775 1
Te4 Te 0.260 0.260 0.260 1
Te5 Te 0.740 0.740 0.740 1
Te6 Te 0.759 0.225 0.225 1
Te7 Te 0.775 0.241 0.775 1
Te8 Te 0.775 0.775 0.241 1
```

VASP calculation (PBE-GGA) on a relaxed structure of SrFePPd.

Properties
DFT total energy   -5.845 eV per atom
Total moment   0.00 μB/cell
SG   No. 129
ΔH_f (0 K)   -254 kJ/mol of formula units

Geometry as CIF:
```
data_SrFePPd
_chemical_formula_sum 'Sr2 Fe2 P2 Pd2'
_cell_length_a 3.809
_cell_length_b 3.809
_cell_length_c 10.651
_cell_angle_alpha 90.00
_cell_angle_beta 90.00
_cell_angle_gamma 90.00
_symmetry_space_group_name_H-M 'P 1'
_symmetry_Int_Tables_number 1
_symmetry_space_group_name_Hall 'P 1'
loop_
_atom_site_label
_atom_site_type_symbol
_atom_site_fract_x
_atom_site_fract_y
_atom_site_fract_z
_atom_site_occupancy
Sr1 Sr 0.250 0.250 0.235 1
Sr2 Sr 0.750 0.750 0.765 1
Fe1 Fe 0.250 0.750 0.500 1
Fe2 Fe 0.750 0.250 0.500 1
P1 P 0.250 0.250 0.606 1
P2 P 0.750 0.750 0.394 1
Pd1 Pd 0.250 0.750 0.000 1
Pd2 Pd 0.750 0.250 0.000 1
```

VASP calculation (PBE-GGA) on a relaxed structure of Tm5TlSn2.

Properties
DFT total energy   -4.312 eV per atom
Total moment   0.00 μB/cell
SG   No. 63
ΔH_f (0 K)   -170 kJ/mol of formula units

Geometry as CIF:
```
data_Tm5TlSn2
_chemical_formula_sum 'Tm10 Tl2 Sn4'
_cell_length_a 6.249
_cell_length_b 6.249
_cell_length_c 15.420
_cell_angle_alpha 90.00
_cell_angle_beta 90.00
_cell_angle_gamma 129.78
_symmetry_space_group_name_H-M 'P 1'
_symmetry_Int_Tables_number 1
_symmetry_space_group_name_Hall 'P 1'
loop_
_atom_site_label
_atom_site_type_symbol
_atom_site_fract_x
_atom_site_fract_y
_atom_site_fract_z
_atom_site_occupancy
Tm1 Tm 0.073 0.927 0.750 1
Tm2 Tm 0.119 0.881 0.054 1
Tm3 Tm 0.119 0.881 0.446 1
Tm4 Tm 0.426 0.574 0.093 1
Tm5 Tm 0.426 0.574 0.407 1
Tm6 Tm 0.574 0.426 0.593 1
Tm7 Tm 0.574 0.426 0.907 1
Tm8 Tm 0.881 0.119 0.554 1
Tm9 Tm 0.881 0.119 0.946 1
Tm10 Tm 0.927 0.073 0.250 1
Tl1 Tl 0.216 0.784 0.250 1
Tl2 Tl 0.784 0.216 0.750 1
Sn1 Sn 0.278 0.722 0.612 1
Sn2 Sn 0.278 0.722 0.888 1
Sn3 Sn 0.722 0.278 0.112 1
Sn4 Sn 0.722 0.278 0.388 1
```

VASP calculation (PBE-GGA) on a relaxed structure of Ta2FeSb.

Properties
DFT total energy   -8.980 eV per atom
Total moment   1.87 μB/cell
SG   No. 44
Raw formation energy   0.092 eV/atom

Geometry as CIF:
```
data_Ta2FeSb
_chemical_formula_sum 'Ta2 Fe1 Sb1'
_cell_length_a 5.224
_cell_length_b 5.224
_cell_length_c 5.224
_cell_angle_alpha 141.63
_cell_angle_beta 128.01
_cell_angle_gamma 66.44
_symmetry_space_group_name_H-M 'P 1'
_symmetry_Int_Tables_number 1
_symmetry_space_group_name_Hall 'P 1'
loop_
_atom_site_label
_atom_site_type_symbol
_atom_site_fract_x
_atom_site_fract_y
_atom_site_fract_z
_atom_site_occupancy
Ta1 Ta 0.000 0.000 0.000 1
Ta2 Ta 0.733 0.233 0.500 1
Fe1 Fe 0.228 0.728 0.500 1
Sb1 Sb 0.461 0.461 0.000 1
```

VASP calculation (PBE-GGA) on a relaxed structure of SrTcCl.

Properties
DFT total energy   -4.380 eV per atom
Energy above the lowest structure with this stoichiometry   0.07 eV per formula unit
Total moment   1.73 μB/cell
SG   No. 187
Raw formation energy   0.251 eV/atom

Geometry as CIF:
```
data_SrTcCl
_chemical_formula_sum 'Sr1 Tc1 Cl1'
_cell_length_a 4.270
_cell_length_b 4.270
_cell_length_c 4.384
_cell_angle_alpha 90.00
_cell_angle_beta 90.00
_cell_angle_gamma 120.00
_symmetry_space_group_name_H-M 'P 1'
_symmetry_Int_Tables_number 1
_symmetry_space_group_name_Hall 'P 1'
loop_
_atom_site_label
_atom_site_type_symbol
_atom_site_fract_x
_atom_site_fract_y
_atom_site_fract_z
_atom_site_occupancy
Sr1 Sr 0.000 0.000 0.000 1
Tc1 Tc 0.667 0.333 0.500 1
Cl1 Cl 0.333 0.667 0.500 1
```

What is the formula in the third record?
CaTe2